A plane-wave DFT calculation with PBE-GGA was carried out for a relaxed ScAuS2 crystal.

a = 3.8194 Å, b = 3.8194 Å, c = 6.6347 Å
α = 90.00°, β = 90.00°, γ = 120.00°
Closest atoms and distances in Å follow each position.
Fractional coordinates of all 4 atoms:
1 Sc 0.0000 0.0000 0.0000  6 S 2.58-2.63
2 Au 0.3333 0.6667 0.4445  1 S 2.35
3 S 0.3333 0.6667 0.7987  1 Au 2.35, 3 Sc 2.58
4 S 0.6667 0.3333 0.2159  3 Sc 2.63, 3 Au 2.68

Properties
Its formation energy from raw total energies is -1053.5 meV/atom. Its relative energy among the computed polymorphs is 147 meV/atom.